No. 1
! RbCa2InH, relaxed, DFT PBE; values from VASP
&SYSTEM
  ibrav = 0, nat = 5, ntyp = 4
/
ATOMIC_SPECIES
Rb 85.47 Rb.upf
Ca 40.08 Ca.upf
In 114.82 In.upf
H 1.01 H.upf
ATOMIC_POSITIONS crystal
Rb 0.000 0.000 0.000
Ca 0.000 0.500 0.500
Ca 0.500 0.000 0.500
In 0.000 0.000 0.500
H 0.500 0.500 0.000
CELL_PARAMETERS angstrom
6.021 0.000 0.000
0.000 6.021 0.000
0.000 0.000 7.015
! Space-group type ... P4/mmm, No. 123
! VASP energy ... -1.804 eV/atom
! Magnetic moment ... 0.00 μB/atom

No. 2
! ZnRe2Ag, relaxed, DFT PBE; values from VASP
&SYSTEM
  ibrav = 0, nat = 8, ntyp = 3
/
ATOMIC_SPECIES
Zn 65.41 Zn.upf
Re 186.21 Re.upf
Ag 107.87 Ag.upf
ATOMIC_POSITIONS crystal
Zn 0.000 0.000 0.000
Zn 0.500 0.500 0.500
Re 0.000 0.500 0.250
Re 0.000 0.500 0.750
Re 0.500 0.000 0.250
Re 0.500 0.000 0.750
Ag 0.000 0.000 0.500
Ag 0.500 0.500 0.000
CELL_PARAMETERS angstrom
3.712 0.000 0.000
0.000 3.712 0.000
0.000 0.000 8.990
! Space-group type ... I4/mmm, No. 139
! Formation enthalpy at 0 K ... 0.5895 eV/atom
! Magnetic moment ... 0.00 μB/atom

No. 3
! SbMoC3, relaxed, DFT PBE; values from VASP
&SYSTEM
  ibrav = 0, nat = 5, ntyp = 3
/
ATOMIC_SPECIES
Sb 121.76 Sb.upf
Mo 95.94 Mo.upf
C 12.01 C.upf
ATOMIC_POSITIONS crystal
Sb 0.000 0.000 0.000
Mo 0.500 0.500 0.500
C 0.000 0.000 0.500
C 0.000 0.500 0.000
C 0.500 0.000 0.000
CELL_PARAMETERS angstrom
4.159 0.000 0.000
0.000 4.159 0.000
0.000 0.000 4.159
! Space-group type ... Pm-3m, No. 221
! Excess energy over the best structure of this formula in the dataset ... 26.196 kcal/mol of atoms
! Formation energy without anion corrections ... 3.026 eV per atom
! Magnetic moment ... 0.28 μB/atom

No. 4
! TiRe4W3, relaxed, DFT PBE; values from VASP
&SYSTEM
  ibrav = 0, nat = 8, ntyp = 3
/
ATOMIC_SPECIES
Ti 47.87 Ti.upf
Re 186.21 Re.upf
W 183.84 W.upf
ATOMIC_POSITIONS crystal
Ti 0.000 0.000 0.000
Re 0.500 0.000 0.249
Re 0.500 0.000 0.751
Re 0.500 0.500 0.000
Re 0.500 0.500 0.500
W 0.000 0.000 0.500
W 0.000 0.500 0.248
W 0.000 0.500 0.752
CELL_PARAMETERS angstrom
3.134 0.000 0.000
0.000 4.444 0.000
0.000 0.000 8.893
! Space-group type ... Pmmm, No. 47
! Formation enthalpy at 0 K ... -0.1267 eV/atom
! Magnetic moment ... 0.00 μB/atom

No. 5
! SrCo2Cl, relaxed, DFT PBE; values from VASP
&SYSTEM
  ibrav = 0, nat = 8, ntyp = 3
/
ATOMIC_SPECIES
Sr 87.62 Sr.upf
Co 58.93 Co.upf
Cl 35.45 Cl.upf
ATOMIC_POSITIONS crystal
Sr 0.000 0.000 0.000
Sr 0.500 0.500 0.000
Co 0.140 0.500 0.694
Co 0.304 0.000 0.656
Co 0.640 0.000 0.694
Co 0.804 0.500 0.656
Cl 0.190 0.500 0.254
Cl 0.690 0.000 0.254
CELL_PARAMETERS angstrom
6.786 0.000 0.000
0.000 3.894 0.000
-0.600 0.000 7.135
! Space-group type ... Cm, No. 8
! Excess energy over the best structure of this formula in the dataset ... 0.163 kcal/mol of atoms
! Formation energy without anion corrections ... -0.180 eV per atom
! Magnetic moment ... 0.77 μB/atom

No. 6
! PrNdSnRh, relaxed, DFT PBE; values from VASP
&SYSTEM
  ibrav = 0, nat = 8, ntyp = 4
/
ATOMIC_SPECIES
Pr 140.91 Pr.upf
Nd 144.24 Nd.upf
Sn 118.71 Sn.upf
Rh 102.91 Rh.upf
ATOMIC_POSITIONS crystal
Pr 0.000 0.000 0.000
Pr 0.000 0.500 0.500
Nd 0.500 0.000 0.292
Nd 0.500 0.500 0.792
Sn 0.500 0.000 0.585
Sn 0.500 0.500 0.085
Rh 0.000 0.000 0.744
Rh 0.000 0.500 0.244
CELL_PARAMETERS angstrom
4.293 0.000 0.000
0.000 4.475 0.000
0.000 0.000 11.246
! Space-group type ... Amm2, No. 38
! Formation enthalpy at 0 K ... -0.6789 eV/atom
! Magnetic moment ... 0.00 μB/atom

No. 7
! FeCo2Cu, relaxed, DFT PBE; values from VASP
&SYSTEM
  ibrav = 0, nat = 16, ntyp = 3
/
ATOMIC_SPECIES
Fe 55.84 Fe.upf
Co 58.93 Co.upf
Cu 63.55 Cu.upf
ATOMIC_POSITIONS crystal
Fe 0.000 0.000 0.000
Fe 0.000 0.500 0.250
Fe 0.500 0.000 0.750
Fe 0.500 0.500 0.500
Co 0.239 0.250 0.125
Co 0.250 0.739 0.375
Co 0.250 0.761 0.875
Co 0.261 0.250 0.625
Co 0.739 0.750 0.625
Co 0.750 0.239 0.875
Co 0.750 0.261 0.375
Co 0.761 0.750 0.125
Cu 0.000 0.000 0.500
Cu 0.000 0.500 0.750
Cu 0.500 0.000 0.250
Cu 0.500 0.500 0.000
CELL_PARAMETERS angstrom
6.442 0.000 0.000
0.000 6.442 0.000
0.000 0.000 4.869
! Space-group type ... I-42d, No. 122
! Formation enthalpy at 0 K ... 0.5430 eV/atom
! Magnetic moment ... 1.55 μB/atom

No. 8
! BaTaPt, relaxed, DFT PBE; values from VASP
&SYSTEM
  ibrav = 0, nat = 12, ntyp = 3
/
ATOMIC_SPECIES
Ba 137.33 Ba.upf
Ta 180.95 Ta.upf
Pt 195.08 Pt.upf
ATOMIC_POSITIONS crystal
Ba 0.000 0.000 0.000
Ba 0.000 0.500 0.500
Ba 0.500 0.000 0.500
Ba 0.500 0.500 0.000
Ta 0.250 0.250 0.750
Ta 0.250 0.750 0.250
Ta 0.750 0.250 0.250
Ta 0.750 0.750 0.750
Pt 0.250 0.250 0.250
Pt 0.250 0.750 0.750
Pt 0.750 0.250 0.750
Pt 0.750 0.750 0.250
CELL_PARAMETERS angstrom
6.801 0.000 0.000
0.000 6.801 0.000
0.000 0.000 6.801
! Space-group type ... F-43m, No. 216
! Formation enthalpy at 0 K ... 1.6828 eV/atom
! Excess energy over the best structure of this formula in the dataset ... 39.600 kcal/mol of atoms
! Magnetic moment ... 0.00 μB/atom

No. 9
! InSi3P, relaxed, DFT PBE; values from VASP
&SYSTEM
  ibrav = 0, nat = 5, ntyp = 3
/
ATOMIC_SPECIES
In 114.82 In.upf
Si 28.09 Si.upf
P 30.97 P.upf
ATOMIC_POSITIONS crystal
In 0.000 0.000 0.000
Si 0.000 0.500 0.500
Si 0.500 0.000 0.500
Si 0.500 0.500 0.000
P 0.500 0.500 0.500
CELL_PARAMETERS angstrom
4.601 0.000 0.000
0.000 4.601 0.000
0.000 0.000 4.601
! Space-group type ... Pm-3m, No. 221
! Excess energy over the best structure of this formula in the dataset ... 0.000 kcal/mol of atoms
! Formation energy without anion corrections ... 0.703 eV per atom
! Magnetic moment ... 0.00 μB/atom

No. 10
! Zr4Ir3Ru, relaxed, DFT PBE; values from VASP
&SYSTEM
  ibrav = 0, nat = 16, ntyp = 3
/
ATOMIC_SPECIES
Zr 91.22 Zr.upf
Ir 192.22 Ir.upf
Ru 101.07 Ru.upf
ATOMIC_POSITIONS crystal
Zr 0.124 0.000 0.124
Zr 0.124 0.500 0.625
Zr 0.376 0.000 0.375
Zr 0.376 0.500 0.876
Zr 0.624 0.000 0.625
Zr 0.624 0.500 0.124
Zr 0.876 0.000 0.876
Zr 0.876 0.500 0.375
Ir 0.000 0.000 0.500
Ir 0.240 0.500 0.240
Ir 0.260 0.000 0.760
Ir 0.500 0.500 0.500
Ir 0.740 0.000 0.240
Ir 0.760 0.500 0.760
Ru 0.000 0.500 0.000
Ru 0.500 0.000 0.000
CELL_PARAMETERS angstrom
14.539 0.000 0.000
0.000 4.573 0.000
-1.431 0.000 4.343
! Space-group type ... C2/m, No. 12
! Formation enthalpy at 0 K ... -0.7406 eV/atom
! Magnetic moment ... 0.00 μB/atom

No. 11
! W2C, relaxed, DFT PBE; values from VASP
&SYSTEM
  ibrav = 0, nat = 12, ntyp = 2
/
ATOMIC_SPECIES
W 183.84 W.upf
C 12.01 C.upf
ATOMIC_POSITIONS crystal
W 0.000 0.000 0.000
W 0.000 0.208 0.500
W 0.000 0.500 0.500
W 0.000 0.792 0.500
W 0.500 0.000 0.500
W 0.500 0.292 0.500
W 0.500 0.500 0.000
W 0.500 0.708 0.500
C 0.000 0.351 0.000
C 0.000 0.649 0.000
C 0.500 0.149 0.000
C 0.500 0.851 0.000
CELL_PARAMETERS angstrom
5.022 0.000 0.000
0.000 10.519 0.000
0.000 0.000 3.018
! Space-group type ... Cmmm, No. 65
! Formation enthalpy at 0 K ... 0.7770 eV/atom
! Magnetic moment ... 0.00 μB/atom

No. 12
! Pr4Sm3Zn, relaxed, DFT PBE; values from VASP
&SYSTEM
  ibrav = 0, nat = 8, ntyp = 3
/
ATOMIC_SPECIES
Pr 140.91 Pr.upf
Sm 150.36 Sm.upf
Zn 65.41 Zn.upf
ATOMIC_POSITIONS crystal
Pr 0.000 0.000 0.096
Pr 0.000 0.000 0.366
Pr 0.000 0.000 0.634
Pr 0.000 0.000 0.904
Sm 0.500 0.500 0.233
Sm 0.500 0.500 0.500
Sm 0.500 0.500 0.767
Zn 0.500 0.500 0.000
CELL_PARAMETERS angstrom
3.699 0.000 0.000
0.000 3.699 0.000
0.000 0.000 19.197
! Space-group type ... P4/mmm, No. 123
! Formation enthalpy at 0 K ... -0.0637 eV/atom
! Magnetic moment ... 0.00 μB/atom